Density functional theory data (GGA-PBE) for an optimized crystal structure of La5Pm4Sm2.

Structure (POSCAR):
```
La5Pm4Sm2
1.0
12.3604 -1.8041 0.0000
12.3604 1.8041 0.0000
-0.7345 0.0000 8.8918
La Pm Sm
5 4 2
Direct
0.0000 0.0000 0.0000
0.3164 0.3164 0.5274
0.3673 0.3673 0.9502
0.6327 0.6327 0.0498
0.6836 0.6836 0.4726
0.0869 0.0869 0.6958
0.4594 0.4594 0.6536
0.5406 0.5406 0.3464
0.9131 0.9131 0.3041
0.2272 0.2272 0.8255
0.7728 0.7728 0.1745
```

Summary:
M_tot = 0.0000 μB per atom
Energy = -4.732 eV/atom
Formation energy = 1.03 eV/f.u.

Density functional theory data (GGA-PBE) for an optimized crystal structure of LaPm2Sm9.

Structure (POSCAR):
```
LaPm2Sm9
1.0
5.1501 0.0000 0.0000
0.0000 5.1501 0.0000
0.0000 0.0000 15.4580
La Pm Sm
1 2 9
Direct
0.0000 0.0000 0.0000
0.0000 0.0000 0.3337
0.0000 0.0000 0.6663
0.0000 0.5000 0.1686
0.0000 0.5000 0.5000
0.0000 0.5000 0.8314
0.5000 0.0000 0.1686
0.5000 0.0000 0.5000
0.5000 0.0000 0.8314
0.5000 0.5000 0.0000
0.5000 0.5000 0.3346
0.5000 0.5000 0.6654
```

Summary:
M_tot = 0.0000 μB per atom
Energy = -4.724 eV/atom
Formation energy = 0.21 eV/f.u.

Density functional theory data (GGA-PBE) for an optimized crystal structure of La3Pm2Sm4.

Structure (POSCAR):
```
La3Pm2Sm4
1.0
8.0166 -1.8377 0.0000
8.0166 1.8377 0.0000
-2.5603 0.0000 10.7113
La Pm Sm
3 2 4
Direct
0.0000 0.0000 0.0000
0.3336 0.3336 0.4444
0.6664 0.6664 0.5556
0.3331 0.3331 0.7787
0.6669 0.6669 0.2213
0.0007 0.0007 0.6685
0.3333 0.3333 0.1104
0.6667 0.6667 0.8896
0.9993 0.9993 0.3315
```

Summary:
M_tot = 0.0000 μB per atom
Energy = -4.777 eV/atom
Formation energy = 0.17 eV/f.u.

Density functional theory data (GGA-PBE) for an optimized crystal structure of La5Pm2Sm4.

Structure (POSCAR):
```
La5Pm2Sm4
1.0
12.3511 -1.8032 0.0000
12.3511 1.8032 0.0000
-0.7440 0.0000 8.8796
La Pm Sm
5 2 4
Direct
0.0000 0.0000 0.0000
0.3165 0.3165 0.5274
0.3675 0.3675 0.9499
0.6325 0.6325 0.0501
0.6835 0.6835 0.4726
0.0867 0.0867 0.6952
0.9133 0.9133 0.3048
0.2272 0.2272 0.8257
0.4597 0.4597 0.6535
0.5403 0.5403 0.3465
0.7728 0.7728 0.1743
```

Summary:
M_tot = 0.0000 μB per atom
Energy = -4.725 eV/atom
Formation energy = 1.04 eV/f.u.

Density functional theory data (GGA-PBE) for an optimized crystal structure of La3Pm2Sm3.

Structure (POSCAR):
```
La3Pm2Sm3
1.0
-2.5916 2.6028 10.4254
2.5916 -2.6028 10.4254
2.5916 2.6028 -10.4254
La Pm Sm
3 2 3
Direct
0.0000 0.0000 0.0000
0.3756 0.8756 0.5000
0.6244 0.1244 0.5000
0.2491 0.2491 0.0000
0.7509 0.7509 0.0000
0.1268 0.6268 0.5000
0.5000 0.5000 0.0000
0.8732 0.3732 0.5000
```

Summary:
M_tot = 0.0000 μB per atom
Energy = -4.787 eV/atom
Formation energy = 0.15 eV/f.u.

Density functional theory data (GGA-PBE) for an optimized crystal structure of LaPm2Sm8.

Structure (POSCAR):
```
LaPm2Sm8
1.0
9.7160 -3.5620 0.0000
9.7160 3.5620 0.0000
-0.3329 0.0000 5.6708
La Pm Sm
1 2 8
Direct
0.0000 0.0000 0.0000
0.2844 0.2844 0.7455
0.7156 0.7156 0.2545
0.1358 0.6009 0.2676
0.1876 0.1876 0.2325
0.3991 0.8642 0.7324
0.4552 0.4552 0.7608
0.5448 0.5448 0.2392
0.6009 0.1358 0.2676
0.8124 0.8124 0.7675
0.8642 0.3991 0.7324
```

Summary:
M_tot = 0.0000 μB per atom
Energy = -4.601 eV/atom
Formation energy = 1.57 eV/f.u.